[1]
# Tm3HfTl3S8, optimized geometry, DFT PBE
# **DFT total energy**: -5.750 eV/atom
data_Tm3HfTl3S8
_chemical_formula_sum 'Tm9 Hf3 Tl9 S24'
_cell_length_a 7.7907
_cell_length_b 7.7907
_cell_length_c 22.8438
_cell_angle_alpha 90.00
_cell_angle_beta 90.00
_cell_angle_gamma 120.00
_space_group_name_H-M_alt 'R -3 m'
_space_group_IT_number 166
_space_group_name_Hall '-R 3 2"'
loop_
_atom_site_label
_atom_site_fract_x
_atom_site_fract_y
_atom_site_fract_z
Tm1 0.0000 0.5000 0.0000
Hf1 0.0000 0.0000 0.0000
Tl1 0.0000 0.5000 0.5000
S1 0.0000 0.0000 0.2684
S2 0.0154 0.5077 0.7298

[2]
# DyZrSe2, optimized geometry, DFT PBE
# **Distance to the lowest polymorph of the same formula**: 1.47 eV per formula unit
data_DyZrSe2
_chemical_formula_sum 'Dy3 Zr3 Se6'
_cell_length_a 3.7456
_cell_length_b 3.7456
_cell_length_c 26.9279
_cell_angle_alpha 90.00
_cell_angle_beta 90.00
_cell_angle_gamma 120.00
_space_group_name_H-M_alt 'R -3 m'
_space_group_IT_number 166
_space_group_name_Hall '-R 3 2"'
loop_
_atom_site_label
_atom_site_fract_x
_atom_site_fract_y
_atom_site_fract_z
Dy1 0.0000 0.0000 0.0000
Zr1 0.0000 0.0000 0.5000
Se1 0.0000 0.0000 0.1048

[3]
# MnCuCl5, optimized geometry, DFT PBE
# **DFT total energy**: -3.948 eV/atom
data_MnCuCl5
_chemical_formula_sum 'Mn4 Cu4 Cl20'
_cell_length_a 6.796
_cell_length_b 12.639
_cell_length_c 8.854
_cell_angle_alpha 90.00
_cell_angle_beta 108.88
_cell_angle_gamma 90.00
_space_group_name_H-M_alt 'C 1 2/c 1'
_space_group_IT_number 15
_space_group_name_Hall '-C 2yc'
loop_
_atom_site_label
_atom_site_fract_x
_atom_site_fract_y
_atom_site_fract_z
Mn1 0.250 0.250 0.000
Cu1 0.000 0.225 0.250
Cl1 0.000 0.182 0.750
Cl2 0.004 0.347 0.447
Cl3 0.169 0.110 0.132

[4]
# ZrTi2VH, optimized geometry, DFT PBE
# **Distance to the lowest polymorph of the same formula**: 0.11 eV per formula unit
data_ZrTi2VH
_chemical_formula_sum 'Zr1 Ti2 V1 H1'
_cell_length_a 4.026
_cell_length_b 4.026
_cell_length_c 4.488
_cell_angle_alpha 90.00
_cell_angle_beta 90.00
_cell_angle_gamma 90.00
_space_group_name_H-M_alt 'P 4/m m m'
_space_group_IT_number 123
_space_group_name_Hall '-P 4 2'
loop_
_atom_site_label
_atom_site_fract_x
_atom_site_fract_y
_atom_site_fract_z
Zr1 0.000 0.000 0.000
Ti1 0.000 0.500 0.500
V1 0.500 0.500 0.000
H1 0.500 0.500 0.500

[5]
# Li4PIr, optimized geometry, DFT PBE
# **ΔH_f (0 K)**: -0.234 eV per formula unit
data_Li4PIr
_chemical_formula_sum 'Li16 P4 Ir4'
_cell_length_a 6.535
_cell_length_b 6.535
_cell_length_c 6.535
_cell_angle_alpha 90.00
_cell_angle_beta 90.00
_cell_angle_gamma 90.00
_space_group_name_H-M_alt 'F -4 3 m'
_space_group_IT_number 216
_space_group_name_Hall 'F -4 2 3'
loop_
_atom_site_label
_atom_site_fract_x
_atom_site_fract_y
_atom_site_fract_z
Li1 0.123 0.123 0.377
P1 0.000 0.000 0.000
Ir1 0.250 0.250 0.750

[6]
# TlFe2Rh, optimized geometry, DFT PBE
# **ΔH_f (0 K)**: 1.314 eV per formula unit
# **Distance to the lowest polymorph of the same formula**: 0.40 eV per formula unit
data_TlFe2Rh
_chemical_formula_sum 'Tl2 Fe4 Rh2'
_cell_length_a 9.375
_cell_length_b 3.017
_cell_length_c 4.577
_cell_angle_alpha 90.00
_cell_angle_beta 105.87
_cell_angle_gamma 90.00
_space_group_name_H-M_alt 'C 1 2/m 1'
_space_group_IT_number 12
_space_group_name_Hall '-C 2y'
loop_
_atom_site_label
_atom_site_fract_x
_atom_site_fract_y
_atom_site_fract_z
Tl1 0.000 0.000 0.000
Fe1 0.241 0.000 0.710
Rh1 0.000 0.500 0.500

[7]
# Tm3Al4Ni4, optimized geometry, DFT PBE
# **ΔH_f (0 K)**: -4.823 eV per formula unit
data_Tm3Al4Ni4
_chemical_formula_sum 'Tm6 Al8 Ni8'
_cell_length_a 7.344
_cell_length_b 7.344
_cell_length_c 7.344
_cell_angle_alpha 90.00
_cell_angle_beta 90.00
_cell_angle_gamma 90.00
_space_group_name_H-M_alt 'I -4 3 m'
_space_group_IT_number 217
_space_group_name_Hall 'I -4 2 3'
loop_
_atom_site_label
_atom_site_fract_x
_atom_site_fract_y
_atom_site_fract_z
Tm1 0.000 0.000 0.500
Al1 0.133 0.133 0.867
Ni1 0.187 0.187 0.187

[8]
# TmSc3B, optimized geometry, DFT PBE
# **ΔH_f (0 K)**: -0.121 eV per formula unit
data_TmSc3B
_chemical_formula_sum 'Tm1 Sc3 B1'
_cell_length_a 4.819
_cell_length_b 4.819
_cell_length_c 4.819
_cell_angle_alpha 90.00
_cell_angle_beta 90.00
_cell_angle_gamma 90.00
_space_group_name_H-M_alt 'P m -3 m'
_space_group_IT_number 221
_space_group_name_Hall '-P 4 2 3'
loop_
_atom_site_label
_atom_site_fract_x
_atom_site_fract_y
_atom_site_fract_z
Tm1 0.000 0.000 0.000
Sc1 0.000 0.500 0.500
B1 0.500 0.500 0.500

[9]
# Nd2Sm8Er, optimized geometry, DFT PBE
# **ΔH_f (0 K)**: 1.710 eV per formula unit
# **Distance to the lowest polymorph of the same formula**: 1.52 eV per formula unit
data_Nd2Sm8Er
_chemical_formula_sum 'Nd4 Sm16 Er2'
_cell_length_a 16.707
_cell_length_b 6.797
_cell_length_c 6.778
_cell_angle_alpha 90.00
_cell_angle_beta 100.71
_cell_angle_gamma 90.00
_space_group_name_H-M_alt 'C 1 2/m 1'
_space_group_IT_number 12
_space_group_name_Hall '-C 2y'
loop_
_atom_site_label
_atom_site_fract_x
_atom_site_fract_y
_atom_site_fract_z
Nd1 0.196 0.000 0.302
Sm1 0.087 0.263 0.903
Sm2 0.090 0.500 0.412
Sm3 0.244 0.000 0.811
Er1 0.000 0.000 0.500